First-principles (PBE) data for a geometry-optimized Tl2GeOs2 structure, as listed in Alexandria via LeMat-Bulk.

DFT total energy	-27.363	eV/cell
volume	113.2	Å³ per cell
SG	No. 139
M_tot	0.000	Bohr magnetons per cell
ΔE_f	0.89	eV/atom
calculated density	12.64	g/cm3
N(E_F)	0.773	states/eV per atom

a = 3.551 Å, b = 3.551 Å, c = 9.323 Å
α = 79.02°, β = 79.02°, γ = 90.00°
Atoms (fractional coordinates):
Tl 0.390 0.390 0.220
Tl 0.610 0.610 0.780
Os 0.750 0.250 0.500
Os 0.250 0.750 0.500
Ge 0.000 0.000 0.000

First-principles (PBE) data for a geometry-optimized Tl2GeOs structure, as listed in Alexandria via LeMat-Bulk.

DFT total energy	-33.084	eV/cell
volume	175.6	Å³ per cell
SG	No. 122
M_tot	1.287	Bohr magnetons per cell
ΔE_f	1.01	eV/atom
calculated density	12.70	g/cm3
N(E_F)	1.271	states/eV per atom

a = 4.080 Å, b = 4.080 Å, c = 10.940 Å
α = 79.25°, β = 79.25°, γ = 90.00°
Site moments in Bohr magnetons follow the coordinates.
Atoms (fractional coordinates):
Tl 0.629 0.125 0.250  -0.01
Tl 0.121 0.625 0.250  -0.01
Tl 0.375 0.371 0.750  0.00
Tl 0.875 0.879 0.750  0.00
Os 0.000 0.000 0.000  0.63
Os 0.750 0.250 0.500  0.63
Ge 0.500 0.500 0.000  -0.01
Ge 0.250 0.750 0.500  -0.01

First-principles (PBE) data for a geometry-optimized TlGe2Os structure, as listed in Alexandria via LeMat-Bulk.

DFT total energy	-19.744	eV/cell
volume	73.5	Å³ per cell
SG	No. 225
M_tot	0.000	Bohr magnetons per cell
ΔE_f	0.77	eV/atom
calculated density	12.19	g/cm3
N(E_F)	0.963	states/eV per atom

a = 4.702 Å, b = 4.702 Å, c = 4.702 Å
α = 60.00°, β = 60.00°, γ = 60.00°
Atoms (fractional coordinates):
Tl 0.500 0.500 0.500
Os 0.000 0.000 0.000
Ge 0.250 0.250 0.250
Ge 0.750 0.750 0.750

Among the records above, which one has the lowest N(E_F)? Tl2GeOs2